Record 1
This record from Alexandria via LeMat-Bulk describes a relaxed Zr2Zn4Ag3 crystal. The functional is PBE.

a b c (Å): 8.258 8.258 7.434
angles (deg): 90.00 90.00 140.38
Positions (direct):
Zr: 0.095 0.905 0.895
Zr: 0.405 0.595 0.395
Zr: 0.595 0.405 0.605
Zr: 0.905 0.095 0.105
Zn: 0.167 0.833 0.524
Zn: 0.183 0.317 0.750
Zn: 0.317 0.183 0.250
Zn: 0.333 0.667 0.024
Zn: 0.667 0.333 0.976
Zn: 0.683 0.817 0.750
Zn: 0.817 0.683 0.250
Zn: 0.833 0.167 0.476
Ag: 0.000 0.000 0.500
Ag: 0.012 0.488 0.750
Ag: 0.488 0.012 0.250
Ag: 0.500 0.500 0.000
Ag: 0.512 0.988 0.750
Ag: 0.988 0.512 0.250

Calculated values
DFT formation energy (eV/atom): -0.07
Symmetry: Cmce
Total DFT energy (no corrections) (eV/atom): -3.487

=====

Record 2
This record from Alexandria via LeMat-Bulk describes a relaxed CsKV2I8 crystal. The functional is PBE.

a b c (Å): 12.090 12.090 12.090
angles (deg): 37.85 37.85 37.85
Positions (direct):
Cs: 0.000 0.000 0.000
K: 0.500 0.500 0.500
V: 0.255 0.255 0.255
V: 0.745 0.745 0.745
I: 0.059 0.435 0.813
I: 0.187 0.941 0.565
I: 0.332 0.332 0.332
I: 0.435 0.813 0.059
I: 0.565 0.187 0.941
I: 0.668 0.668 0.668
I: 0.813 0.059 0.435
I: 0.941 0.565 0.187

Calculated values
Raw formation energy (eV/atom): -0.78
Symmetry: R-3
Total DFT energy (no corrections) (eV/atom): -3.492

=====

Record 3
This record from Alexandria via LeMat-Bulk describes a relaxed CaTeI2N crystal. The functional is PBE.

a b c (Å): 6.153 6.153 6.309
angles (deg): 90.00 90.00 90.00
Positions (direct):
Ca: 0.000 0.000 0.000
Te: 0.000 0.000 0.500
I: 0.000 0.500 0.000
I: 0.500 0.000 0.000
N: 0.500 0.500 0.500

Calculated values
Raw formation energy (eV/atom): 0.54
Energy above the most stable polymorph in this dataset (meV per atom): 412
Symmetry: P4/mmm
Total DFT energy (no corrections) (eV/atom): -2.771

=====

Record 4
This record from Alexandria via LeMat-Bulk describes a relaxed ZnTeS crystal. The functional is PBE.

a b c (Å): 3.896 3.896 13.249
angles (deg): 90.84 90.84 60.02
Positions (direct):
Zn: 0.164 0.164 0.423
Zn: 0.836 0.836 0.577
Te: 0.497 0.497 0.903
Te: 0.503 0.503 0.097
S: 0.171 0.171 0.619
S: 0.829 0.829 0.381

Calculated values
Raw formation energy (eV/atom): -0.36
Symmetry: C2/m
Total DFT energy (no corrections) (eV/atom): -3.206

=====

Record 5
This record from Alexandria via LeMat-Bulk describes a relaxed FeSiTc3 crystal. The functional is PBE.

a b c (Å): 4.332 4.332 4.332
angles (deg): 90.00 90.00 90.00
Positions (direct):
Fe: 0.000 0.000 0.000
Si: 0.500 0.500 0.500
Tc: 0.000 0.500 0.500
Tc: 0.500 0.000 0.500
Tc: 0.500 0.500 0.000

Calculated values
Raw formation energy (eV/atom): 1.23
Energy above the most stable polymorph in this dataset (meV per atom): 0
Symmetry: Pm-3m
Total DFT energy (no corrections) (eV/atom): -7.768

=====

Record 6
This record from Alexandria via LeMat-Bulk describes a relaxed Pr7InPb4 crystal. The functional is PBE.

a b c (Å): 8.904 8.904 9.164
angles (deg): 117.80 117.80 39.01
Positions (direct):
Pr: 0.000 0.000 0.000
Pr: 0.216 0.216 0.833
Pr: 0.337 0.337 0.607
Pr: 0.435 0.435 0.280
Pr: 0.565 0.565 0.720
Pr: 0.663 0.663 0.393
Pr: 0.784 0.784 0.167
In: 0.500 0.500 0.000
Pb: 0.063 0.063 0.413
Pb: 0.220 0.220 0.203
Pb: 0.780 0.780 0.797
Pb: 0.937 0.937 0.587

Calculated values
DFT formation energy (eV/atom): -0.35
Symmetry: C2/m
Total DFT energy (no corrections) (eV/atom): -4.605

=====

Record 7
This record from Alexandria via LeMat-Bulk describes a relaxed AgOsO2 crystal. The functional is PBE.

a b c (Å): 3.994 3.994 3.994
angles (deg): 60.00 60.00 60.00
Positions (direct):
Ag: 0.000 0.000 0.000
Os: 0.500 0.500 0.500
O: 0.250 0.250 0.250
O: 0.750 0.750 0.750

Calculated values
Raw formation energy (eV/atom): 0.72
Symmetry: Fm-3m
Total DFT energy (no corrections) (eV/atom): -5.279

=====

Record 8
This record from Alexandria via LeMat-Bulk describes a relaxed PaNi2Ag crystal. The functional is PBE.

a b c (Å): 4.568 4.568 4.568
angles (deg): 60.00 60.00 60.00
Positions (direct):
Pa: 0.000 0.000 0.000
Ni: 0.250 0.250 0.250
Ni: 0.750 0.750 0.750
Ag: 0.500 0.500 0.500

Calculated values
DFT formation energy (eV/atom): -0.11
Energy above the most stable polymorph in this dataset (meV per atom): 0
Symmetry: Fm-3m
Total DFT energy (no corrections) (eV/atom): -6.085

=====

Record 9
This record from Alexandria via LeMat-Bulk describes a relaxed Na2GaSn2 crystal. The functional is PBE.

a b c (Å): 9.090 9.090 3.325
angles (deg): 90.00 90.00 90.00
Positions (direct):
Na: 0.182 0.318 0.000
Na: 0.318 0.818 0.000
Na: 0.682 0.182 0.000
Na: 0.818 0.682 0.000
Ga: 0.000 0.000 0.000
Ga: 0.500 0.500 0.000
Sn: 0.117 0.617 0.500
Sn: 0.383 0.117 0.500
Sn: 0.617 0.883 0.500
Sn: 0.883 0.383 0.500

Calculated values
DFT formation energy (eV/atom): 0.05
Energy above the most stable polymorph in this dataset (meV per atom): 221
Symmetry: P4/mbm
Total DFT energy (no corrections) (eV/atom): -2.683

=====

Record 10
This record from Alexandria via LeMat-Bulk describes a relaxed HfHgH3 crystal. The functional is PBE.

a b c (Å): 3.783 3.783 3.783
angles (deg): 90.00 90.00 90.00
Positions (direct):
Hf: 0.000 0.000 0.000
Hg: 0.500 0.500 0.500
H: 0.000 0.500 0.500
H: 0.500 0.000 0.500
H: 0.500 0.500 0.000

Calculated values
Energy above the most stable polymorph in this dataset (meV per atom): 753
Symmetry: Pm-3m
Total DFT energy (no corrections) (eV/atom): -3.301

=====

Record 11
This record from Alexandria via LeMat-Bulk describes a relaxed SiSe2I crystal. The functional is PBE.

a b c (Å): 6.386 6.133 7.004
angles (deg): 90.00 99.95 90.00
Positions (direct):
Si: 0.000 0.246 0.000
Si: 0.000 0.754 0.000
Se: 0.039 0.500 0.767
Se: 0.273 0.000 0.103
Se: 0.727 0.000 0.920
Se: 0.993 0.500 0.258
I: 0.191 0.000 0.557
I: 0.516 0.500 0.266

Calculated values
Raw formation energy (eV/atom): -0.21
Energy above the most stable polymorph in this dataset (meV per atom): 0
Symmetry: Pm
Total DFT energy (no corrections) (eV/atom): -3.696

=====

Record 12
This record from Alexandria via LeMat-Bulk describes a relaxed K2Pu3MgO12 crystal. The functional is PBE.

a b c (Å): 7.413 7.413 7.413
angles (deg): 64.02 64.02 64.02
Positions (direct):
K: 0.126 0.126 0.126
K: 0.874 0.874 0.874
Pu: 0.000 0.500 0.500
Pu: 0.500 0.000 0.500
Pu: 0.500 0.500 0.000
Mg: 0.500 0.500 0.500
O: 0.178 0.178 0.567
O: 0.178 0.567 0.178
O: 0.179 0.564 0.564
O: 0.433 0.822 0.822
O: 0.436 0.436 0.821
O: 0.436 0.821 0.436
O: 0.564 0.179 0.564
O: 0.564 0.564 0.179
O: 0.567 0.178 0.178
O: 0.821 0.436 0.436
O: 0.822 0.433 0.822
O: 0.822 0.822 0.433

Calculated values
Raw formation energy (eV/atom): -2.37
Symmetry: R-3m
Total DFT energy (no corrections) (eV/atom): -8.272

=====

| no. | calculated volume (Å³ per atom) | total moment (Bohr magnetons per cell) |
| --- | --- | --- |
| 1 | 18.0 | 0.0 |
| 2 | 49.8 | 4.0 |
| 3 | 47.8 | 5.0 |
| 4 | 29.0 | 0.0 |
| 5 | 16.3 | 0.0 |
| 6 | 33.1 | 0.0 |
| 7 | 11.3 | 0.0 |
| 8 | 16.9 | 0.0 |
| 9 | 27.5 | 0.0 |
| 10 | 10.8 | 0.0 |
| 11 | 33.8 | 0.0 |
| 12 | 17.4 | 4.0 |